Entry 1:
First-principles (GGA-PBE) data for crystalline Cs2TbGaI6 at its relaxed geometry, as listed in the Alexandria database.

formation energy from raw total energies: -1.27 eV per atom
calculated density: 4.26 g/cm³
crystal system: orthorhombic
space-group type: Pmmn

```
data_Cs2TbGaI6
_cell_length_a 8.8401
_cell_length_b 8.8458
_cell_length_c 12.5136
_cell_angle_alpha 90.00
_cell_angle_beta 90.00
_cell_angle_gamma 90.00
_space_group_name_H-M_alt 'P 1'
_space_group_IT_number 1
loop_
_space_group_symop_operation_xyz
'x,y,z'
loop_
_atom_site_label
_atom_site_type_symbol
_atom_site_fract_x
_atom_site_fract_y
_atom_site_fract_z
_atom_site_occupancy
I1 I 0.7564 0.5088 0.0000 1
I2 I 0.2564 0.4912 0.5000 1
I3 I 0.2436 0.5088 0.0000 1
I4 I 0.2428 0.9948 0.0000 1
I5 I 0.0000 0.7517 0.2429 1
I6 I 0.7436 0.4912 0.5000 1
I7 I 0.7428 0.0052 0.5000 1
I8 I 0.2572 0.0052 0.5000 1
I9 I 0.0000 0.7517 0.7571 1
I10 I 0.5000 0.2483 0.7429 1
I11 I 0.7572 0.9948 0.0000 1
I12 I 0.5000 0.2483 0.2571 1
Tb1 Tb 0.5000 0.2487 0.5000 1
Tb2 Tb 0.0000 0.7513 0.0000 1
Cs1 Cs 0.5000 0.7517 0.2496 1
Cs2 Cs 0.0000 0.2483 0.7496 1
Cs3 Cs 0.0000 0.2483 0.2504 1
Cs4 Cs 0.5000 0.7517 0.7504 1
Ga1 Ga 0.0000 0.7488 0.5000 1
Ga2 Ga 0.5000 0.2512 0.0000 1
```

Entry 2:
First-principles (GGA-PBE) data for crystalline RbHfAs2S8 at its relaxed geometry, as listed in the Alexandria database.

formation energy from raw total energies: -0.43 eV per atom
calculated density: 3.55 g/cm³
crystal system: trigonal
space-group type: P-3

```
data_RbHfAs2S8
_cell_length_a 6.2618
_cell_length_b 6.2618
_cell_length_c 9.2309
_cell_angle_alpha 90.00
_cell_angle_beta 90.00
_cell_angle_gamma 120.00
_space_group_name_H-M_alt 'P 1'
_space_group_IT_number 1
loop_
_space_group_symop_operation_xyz
'x,y,z'
loop_
_atom_site_label
_atom_site_type_symbol
_atom_site_fract_x
_atom_site_fract_y
_atom_site_fract_z
_atom_site_occupancy
S1 S 0.6637 0.9884 0.3392 1
S2 S 0.3333 0.6667 0.9571 1
S3 S 0.6752 0.6637 0.6608 1
S4 S 0.9884 0.3248 0.6608 1
S5 S 0.6667 0.3333 0.0429 1
S6 S 0.3363 0.0116 0.6608 1
S7 S 0.3248 0.3363 0.3392 1
S8 S 0.0116 0.6752 0.3392 1
Rb1 Rb 0.0000 0.0000 0.0000 1
As1 As 0.6667 0.3333 0.2771 1
As2 As 0.3333 0.6667 0.7229 1
Hf1 Hf 0.0000 0.0000 0.5000 1
```

Entry 3:
First-principles (GGA-PBE) data for crystalline MnIn2Si at its relaxed geometry, as listed in the Alexandria database.

formation energy from raw total energies: 0.25 eV per atom
calculated density: 6.76 g/cm³
crystal system: trigonal
space-group type: R3m

```
data_MnIn2Si
_cell_length_a 8.8117
_cell_length_b 8.8117
_cell_length_c 8.8117
_cell_angle_alpha 20.98
_cell_angle_beta 20.98
_cell_angle_gamma 20.98
_space_group_name_H-M_alt 'P 1'
_space_group_IT_number 1
loop_
_space_group_symop_operation_xyz
'x,y,z'
loop_
_atom_site_label
_atom_site_type_symbol
_atom_site_fract_x
_atom_site_fract_y
_atom_site_fract_z
_atom_site_occupancy
In1 In 0.0075 0.0075 0.0075 1
In2 In 0.2363 0.2363 0.2363 1
Si1 Si 0.7673 0.7673 0.7673 1
Mn1 Mn 0.4889 0.4889 0.4889 1
```

Entry 4:
First-principles (GGA-PBE) data for crystalline TbPuPdPb at its relaxed geometry, as listed in the Alexandria database.

calculated density: 11.62 g/cm³
energy of formation from the pure elements: -137 kJ/mol of formula units
crystal system: cubic
space-group type: F-43m

```
data_TbPuPdPb
_cell_length_a 5.2515
_cell_length_b 5.2515
_cell_length_c 5.2515
_cell_angle_alpha 60.00
_cell_angle_beta 60.00
_cell_angle_gamma 60.00
_space_group_name_H-M_alt 'P 1'
_space_group_IT_number 1
loop_
_space_group_symop_operation_xyz
'x,y,z'
loop_
_atom_site_label
_atom_site_type_symbol
_atom_site_fract_x
_atom_site_fract_y
_atom_site_fract_z
_atom_site_occupancy
Tb1 Tb 0.7500 0.7500 0.7500 1
Pd1 Pd 0.5000 0.5000 0.5000 1
Pu1 Pu 0.2500 0.2500 0.2500 1
Pb1 Pb 0.0000 0.0000 0.0000 1
```